Material: CrRu
Method: DFT, PBE-GGA
State: relaxed

Structure (extended XYZ):
```
4
Lattice="3.580 0.000 0.000 -1.790 3.100 0.000 0.000 0.000 5.505" Properties=species:S:1:pos:R:3 pbc="T T T"
Cr 0.000 2.067 1.376
Cr 1.790 1.033 4.129
Ru 0.000 0.000 0.000
Ru 0.000 0.000 2.753
```

Values from the calculation:
Calculated density: 8.3 g cm⁻³
Energy of formation: 0.76 eV per atom
Total energy: -34.78 eV per cell

Material: CrRu
Method: DFT, PBE-GGA
State: relaxed

Structure (extended XYZ):
```
8
Lattice="-4.005 -0.637 1.085 0.730 -4.646 -0.033 1.345 0.175 5.067" Properties=species:S:1:pos:R:3 pbc="T T T"
Cr -0.044 -2.875 2.209
Cr -0.776 -0.600 0.844
Cr -1.153 -4.508 5.275
Cr -1.885 -2.233 3.910
Ru -0.086 -0.495 3.452
Ru 0.606 -2.775 4.668
Ru -2.536 -2.333 1.451
Ru -1.843 -4.613 2.667
```

Values from the calculation:
Calculated density: 9.8 g cm⁻³
Energy of formation: 0.10 eV per atom
Total energy: -74.80 eV per cell

Material: Cr5Ru4
Method: DFT, PBE-GGA
State: relaxed

Structure (extended XYZ):
```
9
Lattice="2.694 -5.185 -0.654 -3.959 2.869 3.265 -3.422 -0.513 -4.753" Properties=species:S:1:pos:R:3 pbc="T T T"
Ru -0.491 -3.846 -3.650
Ru -2.399 0.765 -0.484
Ru -0.237 -1.852 -1.757
Ru -4.982 1.590 -1.005
Cr -1.738 0.180 1.956
Cr 0.000 0.000 0.000
Cr -1.980 -1.713 0.160
Cr 0.472 -2.496 0.654
Cr -2.708 -1.116 -2.302
```

Values from the calculation:
Calculated density: 9.5 g cm⁻³
Energy of formation: 0.17 eV per atom
Total energy: -83.69 eV per cell

Material: CrRu
Method: DFT, PBE-GGA
State: relaxed

Structure (extended XYZ):
```
32
Lattice="6.766 0.000 0.000 0.000 7.422 0.000 0.000 0.000 8.862" Properties=species:S:1:pos:R:3 pbc="T T T"
Ru 3.383 6.076 0.000
Ru 0.000 6.076 4.431
Ru 0.000 5.057 0.000
Ru 5.075 4.221 2.216
Ru 3.383 1.346 0.000
Ru 5.075 6.912 2.216
Ru 1.692 6.912 6.647
Ru 5.075 0.510 6.647
Ru 1.692 4.221 6.647
Ru 1.692 0.510 2.216
Ru 1.692 3.201 2.216
Ru 0.000 2.365 0.000
Ru 3.383 5.057 4.431
Ru 0.000 1.346 4.431
Ru 5.075 3.201 6.647
Ru 3.383 2.365 4.431
Cr 1.094 0.000 0.000
Cr 2.786 5.566 2.216
Cr 1.094 3.711 4.431
Cr 5.672 0.000 0.000
Cr 2.289 0.000 4.431
Cr 6.169 1.855 2.216
Cr 2.786 1.855 6.647
Cr 4.477 3.711 0.000
Cr 4.477 0.000 4.431
Cr 5.672 3.711 4.431
Cr 0.598 5.566 2.216
Cr 3.981 1.855 2.216
Cr 2.289 3.711 0.000
Cr 3.981 5.566 6.647
Cr 6.169 5.566 6.647
Cr 0.598 1.855 6.647
```

Values from the calculation:
Calculated density: 9.1 g cm⁻³
Energy of formation: 0.63 eV per atom
Total energy: -282.08 eV per cell

Material: CrRu
Method: DFT, PBE-GGA
State: relaxed

Structure (extended XYZ):
```
16
Lattice="-2.814 2.964 5.780 -5.894 -3.814 -0.913 1.693 -3.207 2.468" Properties=species:S:1:pos:R:3 pbc="T T T"
Ru -2.563 1.854 4.166
Ru -0.400 -1.137 2.694
Ru -6.616 -2.919 4.642
Ru -1.805 -0.764 0.245
Ru -6.903 -0.086 4.622
Ru -6.144 -2.704 0.701
Ru -3.297 0.097 6.284
Ru -3.718 -4.153 1.052
Cr -2.429 -2.454 2.374
Cr -4.597 0.542 3.857
Cr -2.322 -0.922 4.292
Cr -4.693 -3.134 3.044
Cr -5.938 -1.111 2.629
Cr -4.586 -1.602 4.961
Cr -4.110 -1.392 1.011
Cr -2.769 0.261 2.239
```

Values from the calculation:
Calculated density: 9.2 g cm⁻³
Energy of formation: 0.42 eV per atom
Total energy: -144.46 eV per cell

Material: CrRu
Method: DFT, PBE-GGA
State: relaxed

Structure (extended XYZ):
```
4
Lattice="4.427 -0.163 0.051 -2.426 4.517 0.033 0.000 0.830 2.643" Properties=species:S:1:pos:R:3 pbc="T T T"
Cr -0.709 2.280 0.736
Cr 4.292 0.839 2.640
Ru -0.368 4.759 1.409
Ru 1.525 2.877 2.000
```

Values from the calculation:
Calculated density: 9.9 g cm⁻³
Energy of formation: 0.07 eV per atom
Total energy: -37.52 eV per cell

Material: Cr3Ru
Method: DFT, PBE-GGA
State: relaxed

Structure (extended XYZ):
```
4
Lattice="-1.192 2.041 2.812 -3.006 -2.097 0.247 3.847 -2.199 0.828" Properties=species:S:1:pos:R:3 pbc="T T T"
Cr -2.099 -0.028 1.530
Cr 0.278 -0.093 2.585
Cr -0.629 -2.162 1.302
Ru 0.000 0.000 0.000
```

Values from the calculation:
Calculated density: 8.6 g cm⁻³
Energy of formation: 0.23 eV per atom
Total energy: -37.21 eV per cell

Material: Cr3Ru5
Method: DFT, PBE-GGA
State: relaxed

Structure (extended XYZ):
```
16
Lattice="7.175 0.001 0.000 3.591 6.216 0.000 0.000 0.000 4.939" Properties=species:S:1:pos:R:3 pbc="T T T"
Ru 4.464 4.704 3.705
Ru 3.590 2.072 2.470
Ru 6.303 1.513 1.235
Ru 3.590 2.072 0.000
Ru 8.049 1.515 3.705
Ru 5.337 6.215 1.235
Ru 7.177 4.145 0.000
Ru 7.177 4.145 2.470
Ru 2.717 4.702 1.235
Ru 5.429 0.001 3.705
Cr 9.333 3.736 3.705
Cr 5.022 3.736 1.235
Cr 8.608 2.482 1.235
Cr 6.455 6.216 3.705
Cr 5.745 2.481 3.705
Cr 7.903 6.216 1.235
```

Values from the calculation:
Calculated density: 10.0 g cm⁻³
Energy of formation: 0.30 eV per atom
Total energy: -145.66 eV per cell

Material: Cr3Ru
Method: DFT, PBE-GGA
State: relaxed

Structure (extended XYZ):
```
4
Lattice="2.716 0.000 0.000 -1.358 7.875 -0.088 1.358 -0.208 2.343" Properties=species:S:1:pos:R:3 pbc="T T T"
Cr 2.716 7.535 2.243
Cr 1.358 3.965 1.139
Cr 0.000 5.854 0.520
Ru 2.716 1.813 1.735
```

Values from the calculation:
Calculated density: 8.5 g cm⁻³
Energy of formation: 0.28 eV per atom
Total energy: -37.04 eV per cell

Material: CrRu
Method: DFT, PBE-GGA
State: relaxed

Structure (extended XYZ):
```
4
Lattice="2.666 0.000 0.000 -1.333 2.309 0.000 0.000 0.000 8.475" Properties=species:S:1:pos:R:3 pbc="T T T"
Ru 0.000 0.000 4.144
Ru 0.000 1.539 6.449
Cr 0.000 1.539 2.134
Cr 0.000 0.000 8.459
```

Values from the calculation:
Calculated density: 9.7 g cm⁻³
Energy of formation: 0.15 eV per atom
Total energy: -37.19 eV per cell

Material: CrRu
Method: DFT, PBE-GGA
State: relaxed

Structure (extended XYZ):
```
16
Lattice="-5.880 3.771 5.775 -6.770 -4.605 -3.886 0.389 -2.020 1.715" Properties=species:S:1:pos:R:3 pbc="T T T"
Ru -10.588 -1.487 2.742
Ru -4.457 -0.060 0.941
Ru -8.193 -0.774 0.948
Ru -6.099 -1.614 -0.516
Ru -6.551 0.780 2.405
Ru -6.801 -4.418 -1.568
Ru -5.459 1.564 5.172
Ru -1.673 -1.367 0.861
Cr -4.607 -3.594 -1.096
Cr -9.703 -2.824 0.968
Cr -4.356 1.604 2.877
Cr -9.077 0.563 2.723
Cr -8.294 -2.438 -0.989
Cr -2.557 -0.030 2.636
Cr -3.573 -1.397 -0.834
Cr -7.654 0.740 4.699
```

Values from the calculation:
Calculated density: 9.2 g cm⁻³
Energy of formation: 0.48 eV per atom
Total energy: -143.48 eV per cell

Material: Cr2Ru
Method: DFT, PBE-GGA
State: relaxed

Structure (extended XYZ):
```
6
Lattice="-9.002 -6.589 2.733 -10.566 -4.502 0.082 10.303 4.304 -2.691" Properties=species:S:1:pos:R:3 pbc="T T T"
Ru 0.000 0.000 0.000
Ru -4.241 -3.915 0.725
Cr -11.361 -6.440 1.634
Cr -3.446 -1.978 -0.828
Cr -8.207 -4.652 1.180
Cr -6.600 -3.766 -0.374
```

Values from the calculation:
Calculated density: 8.7 g cm⁻³
Energy of formation: 0.38 eV per atom
Total energy: -54.78 eV per cell

Material: Cr2Ru
Method: DFT, PBE-GGA
State: relaxed

Structure (extended XYZ):
```
6
Lattice="2.084 -3.610 0.000 2.084 3.610 0.000 0.000 0.000 5.081" Properties=species:S:1:pos:R:3 pbc="T T T"
Cr 2.084 -1.203 3.811
Cr 2.084 1.203 1.270
Cr 0.000 0.000 0.000
Cr 0.000 0.000 2.541
Ru 2.084 1.203 3.811
Ru 2.084 -1.203 1.270
```

Values from the calculation:
Calculated density: 8.9 g cm⁻³
Energy of formation: 0.26 eV per atom
Total energy: -55.46 eV per cell

Material: Cr2Ru
Method: DFT, PBE-GGA
State: relaxed

Structure (extended XYZ):
```
3
Lattice="-2.138 -2.912 -2.151 -1.232 -1.764 3.612 -2.271 1.646 0.029" Properties=species:S:1:pos:R:3 pbc="T T T"
Cr -1.752 -0.059 1.821
Cr -2.205 -0.633 -1.061
Ru 0.000 0.000 0.000
```

Values from the calculation:
Calculated density: 6.9 g cm⁻³
Energy of formation: 0.87 eV per atom
Total energy: -25.92 eV per cell

Material: CrRu
Method: DFT, PBE-GGA
State: relaxed

Structure (extended XYZ):
```
2
Lattice="-3.235 1.788 0.629 -2.347 -1.246 2.644 -0.475 1.960 3.160" Properties=species:S:1:pos:R:3 pbc="T T T"
Cr 0.000 0.000 0.000
Ru -4.543 1.876 4.824
```

Values from the calculation:
Calculated density: 6.8 g cm⁻³
Energy of formation: 1.32 eV per atom
Total energy: -16.27 eV per cell

Material: CrRu
Method: DFT, PBE-GGA
State: relaxed

Structure (extended XYZ):
```
4
Lattice="-0.038 -3.453 1.651 2.086 2.826 1.521 -3.591 1.268 2.569" Properties=species:S:1:pos:R:3 pbc="T T T"
Cr 0.000 0.000 0.000
Cr -1.796 0.634 1.284
Ru -2.023 -0.409 3.535
Ru 0.480 1.050 2.207
```

Values from the calculation:
Calculated density: 8.7 g cm⁻³
Energy of formation: 0.67 eV per atom
Total energy: -35.10 eV per cell

Material: CrRu
Method: DFT, PBE-GGA
State: relaxed

Structure (extended XYZ):
```
4
Lattice="2.667 0.000 0.000 -1.333 8.531 -0.005 1.333 -0.207 2.300" Properties=species:S:1:pos:R:3 pbc="T T T"
Ru 2.667 1.848 1.712
Ru 1.333 4.291 1.159
Cr 2.667 8.310 2.294
Cr 0.000 6.360 0.573
```

Values from the calculation:
Calculated density: 9.7 g cm⁻³
Energy of formation: 0.18 eV per atom
Total energy: -37.07 eV per cell

Material: Cr5Ru
Method: DFT, PBE-GGA
State: relaxed

Structure (extended XYZ):
```
6
Lattice="-0.973 4.283 -1.579 -1.869 -3.736 -2.082 -3.178 0.198 2.496" Properties=species:S:1:pos:R:3 pbc="T T T"
Ru 0.000 0.000 0.000
Cr -2.523 -1.769 0.207
Cr -2.076 2.241 0.459
Cr -1.272 1.610 -1.747
Cr -1.570 -1.063 -1.915
Cr -3.010 0.373 -0.583
```

Values from the calculation:
Calculated density: 7.9 g cm⁻³
Energy of formation: 0.40 eV per atom
ΔE to the lowest computed polymorph: 0.347 eV per atom
Total energy: -55.00 eV per cell

Material: Cr3Ru
Method: DFT, PBE-GGA
State: relaxed

Structure (extended XYZ):
```
4
Lattice="2.923 0.000 0.000 0.000 4.163 0.000 0.000 0.000 4.168" Properties=species:S:1:pos:R:3 pbc="T T T"
Cr 1.461 0.000 1.743
Cr 1.461 2.082 3.780
Cr 0.000 2.082 1.744
Ru 0.000 0.000 3.849
```

Values from the calculation:
Calculated density: 8.4 g cm⁻³
Energy of formation: 0.10 eV per atom
Total energy: -37.73 eV per cell

Material: Cr3Ru5
Method: DFT, PBE-GGA
State: relaxed

Structure (extended XYZ):
```
16
Lattice="4.731 0.206 -0.002 2.690 7.338 0.003 -2.367 -0.103 6.316" Properties=species:S:1:pos:R:3 pbc="T T T"
Ru 2.322 6.163 4.479
Ru 2.642 1.338 1.857
Ru 2.643 1.340 4.460
Ru 4.765 5.222 0.910
Ru 3.928 3.467 3.158
Ru 0.036 5.021 5.416
Ru 2.323 6.162 1.847
Ru 4.906 2.364 0.855
Ru 1.452 4.002 3.165
Ru 0.179 2.162 5.464
Cr 3.875 7.384 6.082
Cr 3.875 7.385 0.242
Cr 0.327 0.912 3.162
Cr 4.632 6.497 3.162
Cr 2.623 3.722 5.259
Cr 2.614 3.720 1.066
```

Values from the calculation:
Calculated density: 10.2 g cm⁻³
Energy of formation: 0.17 eV per atom
Total energy: -147.81 eV per cell

Material: Cr3Ru2
Method: DFT, PBE-GGA
State: relaxed

Structure (extended XYZ):
```
5
Lattice="10.770 -1.313 0.013 10.770 1.313 0.013 10.607 0.000 2.282" Properties=species:S:1:pos:R:3 pbc="T T T"
Ru 19.265 0.000 1.384
Ru 12.882 0.000 0.925
Cr 6.425 0.000 0.461
Cr 0.000 0.000 0.000
Cr 25.723 0.000 1.847
```

Values from the calculation:
Calculated density: 9.3 g cm⁻³
Energy of formation: 0.22 eV per atom
Total energy: -46.33 eV per cell

Material: Cr2Ru
Method: DFT, PBE-GGA
State: relaxed

Structure (extended XYZ):
```
3
Lattice="-2.938 3.116 1.467 -4.223 0.108 -1.627 3.147 -2.475 2.113" Properties=species:S:1:pos:R:3 pbc="T T T"
Cr -0.002 0.001 0.000
Cr -4.772 2.148 -0.106
Ru -2.387 1.075 -0.053
```

Values from the calculation:
Calculated density: 9.0 g cm⁻³
Energy of formation: 0.20 eV per atom
Total energy: -27.94 eV per cell

Material: Cr2Ru
Method: DFT, PBE-GGA
State: relaxed

Structure (extended XYZ):
```
24
Lattice="-2.480 3.918 0.946 0.762 -3.197 3.404 12.948 7.251 3.911" Properties=species:S:1:pos:R:3 pbc="T T T"
Cr 5.615 3.986 4.130
Cr 1.675 2.937 4.063
Cr 6.855 2.027 3.657
Cr 9.944 3.402 5.936
Cr 7.766 3.702 5.026
Cr 0.211 2.448 2.252
Cr 2.552 2.569 1.841
Cr -0.859 0.360 2.175
Cr 8.678 5.403 6.419
Cr 0.381 -1.598 1.702
Cr -1.240 1.959 0.473
Cr 9.555 5.035 4.198
Cr 3.464 4.270 3.234
Cr 5.234 5.585 2.428
Cr 11.019 5.524 6.009
Cr 1.286 4.570 2.324
Ru 1.702 0.306 3.195
Ru 7.096 6.304 4.331
Ru 7.701 4.313 2.326
Ru 5.247 2.938 1.585
Ru 11.721 6.564 3.540
Ru 9.528 7.666 5.065
Ru 4.135 1.669 3.930
Ru 1.227 0.687 0.371
```

Values from the calculation:
Calculated density: 9.2 g cm⁻³
Energy of formation: 0.04 eV per atom
Total energy: -227.18 eV per cell

Material: Cr3Ru
Method: DFT, PBE-GGA
State: relaxed

Structure (extended XYZ):
```
8
Lattice="-1.827 1.827 7.455 1.827 -1.827 7.455 1.827 1.827 -7.455" Properties=species:S:1:pos:R:3 pbc="T T T"
Ru 0.000 0.000 5.577
Ru 0.000 0.000 9.334
Cr 0.000 1.827 3.728
Cr 0.000 1.827 0.000
Cr 0.000 0.000 13.099
Cr 1.827 0.000 0.000
Cr 0.000 0.000 1.812
Cr 1.827 0.000 3.728
```

Values from the calculation:
Calculated density: 8.6 g cm⁻³
Energy of formation: 0.22 eV per atom
Total energy: -74.53 eV per cell